TaHgOs2, optimized geometry, DFT PBE-GGA; total magnetization = 0.00 μB per atom; space group = No. 47; formation energy = 0.682 eV per atom; crystal system = orthorhombic; raw total energy = -7.971 eV/atom
1.0
3.062 0.000 0.000
0.000 4.503 0.000
0.000 0.000 4.846
Ta Hg Os
1 1 2
Direct
0.000 0.000 0.000
0.500 0.000 0.500
0.000 0.500 0.500
0.500 0.500 0.000


Ni2Sn5, optimized geometry, DFT PBE-GGA; total magnetization = 0.00 μB per atom; space group = No. 15; formation energy = -0.080 eV per atom; crystal system = monoclinic; raw total energy = -4.591 eV/atom
1.0
7.218 -3.278 0.000
7.218 3.278 0.000
-1.517 0.000 6.324
Ni Sn
4 10
Direct
0.116 0.653 0.905
0.347 0.884 0.595
0.653 0.116 0.405
0.884 0.347 0.095
0.061 0.939 0.250
0.107 0.316 0.786
0.303 0.514 0.550
0.316 0.107 0.286
0.486 0.697 0.950
0.514 0.303 0.050
0.684 0.893 0.714
0.697 0.486 0.450
0.893 0.684 0.214
0.939 0.061 0.750